Entry 1:
First-principles (GGA-PBE) data for a geometry-optimized BeInCuIr structure, as listed in OQMD.

abc: 4.326 4.326 4.326
angles: 60.00 60.00 60.00
Positions (direct):
Be 0.000 0.000 0.000
In 0.500 0.500 0.500
Cu 0.750 0.750 0.750
Ir 0.250 0.250 0.250

## Properties
The crystal system is cubic. The value obtained for the final energy is -4.72 eV/atom. As for the symmetry: F-43m, No. 216. The value obtained for the theoretical density is 11.01 Mg/m³.

=====

Entry 2:
First-principles (GGA-PBE) data for a geometry-optimized LuBeInCu structure, as listed in OQMD.

abc: 4.567 4.567 4.567
angles: 60.00 60.00 60.00
Positions (direct):
Lu 0.000 0.000 0.000
Be 0.250 0.250 0.250
In 0.500 0.500 0.500
Cu 0.750 0.750 0.750

## Properties
The crystal system is cubic. The value obtained for the final energy is -3.80 eV/atom. As for the symmetry: F-43m, No. 216. The value obtained for the theoretical density is 8.93 Mg/m³.

=====

Entry 3:
First-principles (GGA-PBE) data for a geometry-optimized LuBeInCu structure, as listed in OQMD.

abc: 4.636 4.636 4.636
angles: 60.00 60.00 60.00
Positions (direct):
Lu 0.000 0.000 0.000
Be 0.750 0.750 0.750
In 0.250 0.250 0.250
Cu 0.500 0.500 0.500

## Properties
The crystal system is cubic. The value obtained for the final energy is -3.57 eV/atom. As for the symmetry: F-43m, No. 216. The value obtained for the theoretical density is 8.54 Mg/m³.

=====

Entry 4:
First-principles (GGA-PBE) data for a geometry-optimized MgBeIn2Cu4 structure, as listed in OQMD.

abc: 4.349 4.349 6.227
angles: 90.00 90.00 90.00
Positions (direct):
Mg 0.000 0.000 0.000
Be 0.500 0.500 0.500
In 0.000 0.000 0.500
In 0.500 0.500 0.000
Cu 0.000 0.500 0.271
Cu 0.000 0.500 0.729
Cu 0.500 0.000 0.271
Cu 0.500 0.000 0.729

## Properties
The crystal system is tetragonal. The value obtained for the final energy is -3.14 eV/atom. As for the symmetry: P4/mmm, No. 123. The value obtained for the theoretical density is 7.29 Mg/m³.

=====

Entry 5:
First-principles (GGA-PBE) data for a geometry-optimized MgBeInCu structure, as listed in OQMD.

abc: 4.463 4.463 4.463
angles: 60.00 60.00 60.00
Positions (direct):
Mg 0.000 0.000 0.000
Be 0.500 0.500 0.500
In 0.250 0.250 0.250
Cu 0.750 0.750 0.750

## Properties
The crystal system is cubic. The value obtained for the final energy is -2.67 eV/atom. As for the symmetry: F-43m, No. 216. The value obtained for the theoretical density is 5.59 Mg/m³.

=====

Entry 6:
First-principles (GGA-PBE) data for a geometry-optimized MgBeInCu structure, as listed in OQMD.

abc: 4.449 4.449 4.449
angles: 60.00 60.00 60.00
Positions (direct):
Mg 0.000 0.000 0.000
Be 0.250 0.250 0.250
In 0.500 0.500 0.500
Cu 0.750 0.750 0.750

## Properties
The crystal system is cubic. The value obtained for the final energy is -2.73 eV/atom. As for the symmetry: F-43m, No. 216. The value obtained for the theoretical density is 5.64 Mg/m³.

=====

Entry 7:
First-principles (GGA-PBE) data for a geometry-optimized BeInCuMo structure, as listed in OQMD.

abc: 4.345 4.345 4.345
angles: 60.00 60.00 60.00
Positions (direct):
Be 0.000 0.000 0.000
In 0.250 0.250 0.250
Cu 0.500 0.500 0.500
Mo 0.750 0.750 0.750

## Properties
The crystal system is cubic. The value obtained for the final energy is -4.84 eV/atom. As for the symmetry: F-43m, No. 216. The value obtained for the theoretical density is 8.11 Mg/m³.

=====

Entry 8:
First-principles (GGA-PBE) data for a geometry-optimized BeInCuMo structure, as listed in OQMD.

abc: 4.381 4.381 4.381
angles: 60.00 60.00 60.00
Positions (direct):
Be 0.000 0.000 0.000
In 0.500 0.500 0.500
Cu 0.750 0.750 0.750
Mo 0.250 0.250 0.250

## Properties
The crystal system is cubic. The value obtained for the final energy is -4.74 eV/atom. As for the symmetry: F-43m, No. 216. The value obtained for the theoretical density is 7.91 Mg/m³.

=====

Entry 9:
First-principles (GGA-PBE) data for a geometry-optimized BeNbInCu structure, as listed in OQMD.

abc: 4.411 4.411 4.411
angles: 60.00 60.00 60.00
Positions (direct):
Be 0.000 0.000 0.000
Nb 0.750 0.750 0.750
In 0.250 0.250 0.250
Cu 0.500 0.500 0.500

## Properties
The crystal system is cubic. The value obtained for the final energy is -4.79 eV/atom. As for the symmetry: F-43m, No. 216. The value obtained for the theoretical density is 7.67 Mg/m³.

=====

Entry 10:
First-principles (GGA-PBE) data for a geometry-optimized BeNbInCu structure, as listed in OQMD.

abc: 4.454 4.454 4.454
angles: 60.00 60.00 60.00
Positions (direct):
Be 0.000 0.000 0.000
Nb 0.250 0.250 0.250
In 0.500 0.500 0.500
Cu 0.750 0.750 0.750

## Properties
The crystal system is cubic. The value obtained for the final energy is -4.64 eV/atom. As for the symmetry: F-43m, No. 216. The value obtained for the theoretical density is 7.45 Mg/m³.

=====

Entry 11:
First-principles (GGA-PBE) data for a geometry-optimized BeInCuOs structure, as listed in OQMD.

abc: 4.308 4.308 4.308
angles: 60.00 60.00 60.00
Positions (direct):
Be 0.000 0.000 0.000
In 0.500 0.500 0.500
Cu 0.750 0.750 0.750
Os 0.250 0.250 0.250

## Properties
The crystal system is cubic. The value obtained for the final energy is -4.98 eV/atom. As for the symmetry: F-43m, No. 216. The value obtained for the theoretical density is 11.09 Mg/m³.

=====

Entry 12:
First-principles (GGA-PBE) data for a geometry-optimized BeInCuOs structure, as listed in OQMD.

abc: 4.265 4.265 4.265
angles: 60.00 60.00 60.00
Positions (direct):
Be 0.000 0.000 0.000
In 0.250 0.250 0.250
Cu 0.500 0.500 0.500
Os 0.750 0.750 0.750

## Properties
The crystal system is cubic. The value obtained for the final energy is -5.00 eV/atom. As for the symmetry: F-43m, No. 216. The value obtained for the theoretical density is 11.43 Mg/m³.

=====

Entry 13:
First-principles (GGA-PBE) data for a geometry-optimized BeInCuPd structure, as listed in OQMD.

abc: 4.344 4.344 4.344
angles: 60.00 60.00 60.00
Positions (direct):
Be 0.000 0.000 0.000
In 0.500 0.500 0.500
Cu 0.750 0.750 0.750
Pd 0.250 0.250 0.250

## Properties
The crystal system is cubic. The value obtained for the final energy is -3.94 eV/atom. As for the symmetry: F-43m, No. 216. The value obtained for the theoretical density is 8.42 Mg/m³.

=====

Entry 14:
First-principles (GGA-PBE) data for a geometry-optimized BeInCuRe structure, as listed in OQMD.

abc: 4.334 4.334 4.334
angles: 60.00 60.00 60.00
Positions (direct):
Be 0.000 0.000 0.000
In 0.500 0.500 0.500
Cu 0.750 0.750 0.750
Re 0.250 0.250 0.250

## Properties
The crystal system is cubic. The value obtained for the final energy is -5.04 eV/atom. As for the symmetry: F-43m, No. 216. The value obtained for the theoretical density is 10.77 Mg/m³.

=====

Entry 15:
First-principles (GGA-PBE) data for a geometry-optimized BeInCuRe structure, as listed in OQMD.

abc: 4.283 4.283 4.283
angles: 60.00 60.00 60.00
Positions (direct):
Be 0.000 0.000 0.000
In 0.250 0.250 0.250
Cu 0.500 0.500 0.500
Re 0.750 0.750 0.750

## Properties
The crystal system is cubic. The value obtained for the final energy is -5.11 eV/atom. As for the symmetry: F-43m, No. 216. The value obtained for the theoretical density is 11.16 Mg/m³.

=====

Entry 16:
First-principles (GGA-PBE) data for a geometry-optimized TaBeInCu structure, as listed in OQMD.

abc: 4.458 4.458 4.458
angles: 60.00 60.00 60.00
Positions (direct):
Ta 0.000 0.000 0.000
Be 0.750 0.750 0.750
In 0.250 0.250 0.250
Cu 0.500 0.500 0.500

## Properties
The crystal system is cubic. The value obtained for the final energy is -4.95 eV/atom. As for the symmetry: F-43m, No. 216. The value obtained for the theoretical density is 9.76 Mg/m³.

=====

Entry 17:
First-principles (GGA-PBE) data for a geometry-optimized TaBeInCu structure, as listed in OQMD.

abc: 4.394 4.394 4.394
angles: 60.00 60.00 60.00
Positions (direct):
Ta 0.000 0.000 0.000
Be 0.250 0.250 0.250
In 0.500 0.500 0.500
Cu 0.750 0.750 0.750

## Properties
The crystal system is cubic. The value obtained for the final energy is -5.12 eV/atom. As for the symmetry: F-43m, No. 216. The value obtained for the theoretical density is 10.19 Mg/m³.

=====

Entry 18:
First-principles (GGA-PBE) data for a geometry-optimized BeInCuW structure, as listed in OQMD.

abc: 4.351 4.351 4.351
angles: 60.00 60.00 60.00
Positions (direct):
Be 0.000 0.000 0.000
In 0.250 0.250 0.250
Cu 0.500 0.500 0.500
W 0.750 0.750 0.750

## Properties
The crystal system is cubic. The value obtained for the final energy is -5.17 eV/atom. As for the symmetry: F-43m, No. 216. The value obtained for the theoretical density is 10.58 Mg/m³.

=====

Entry 19:
First-principles (GGA-PBE) data for a geometry-optimized BeInCuW structure, as listed in OQMD.

abc: 4.399 4.399 4.399
angles: 60.00 60.00 60.00
Positions (direct):
Be 0.000 0.000 0.000
In 0.500 0.500 0.500
Cu 0.750 0.750 0.750
W 0.250 0.250 0.250

## Properties
The crystal system is cubic. The value obtained for the final energy is -5.03 eV/atom. As for the symmetry: F-43m, No. 216. The value obtained for the theoretical density is 10.24 Mg/m³.

=====

Entry 20:
First-principles (GGA-PBE) data for a geometry-optimized ZrBeInCu structure, as listed in OQMD.

abc: 4.495 4.495 4.495
angles: 60.00 60.00 60.00
Positions (direct):
Zr 0.000 0.000 0.000
Be 0.250 0.250 0.250
In 0.500 0.500 0.500
Cu 0.750 0.750 0.750

## Properties
The crystal system is cubic. The value obtained for the final energy is -4.72 eV/atom. As for the symmetry: F-43m, No. 216. The value obtained for the theoretical density is 7.20 Mg/m³.

=====

Record order is preserved below.
V: 14.31, 16.84, 17.62, 14.72, 15.71, 15.57, 14.51, 14.86, 15.17, 15.62, 14.13, 13.71, 14.49, 14.39, 13.89, 15.66, 15.00, 14.56, 15.05, 16.06 A^3/atom